[1]
The following is a PBE-GGA calculation of Na2MgPI after structural relaxation, from the Alexandria database.

Cell and atoms, written as POSCAR:
```
Na2MgPI
1.0
6.3363 0.0000 0.0000
0.0000 4.4745 0.0000
0.0000 0.0000 6.3363
I Na Mg P
1 2 1 1
Direct
0.5000 0.5000 0.5000
0.0000 0.0000 0.5000
0.5000 0.0000 0.0000
0.0000 0.0000 0.0000
0.0000 0.5000 0.0000
```

Values from the calculation:
Total magnetization ... 0.00 μB/f.u.
Final energy ... -2.415 eV per atom
E_form (uncorrected) ... -177 meV/atom

---

[2]
The following is a PBE-GGA calculation of ScAsCl2 after structural relaxation, from the Alexandria database.

Cell and atoms, written as POSCAR:
```
ScAsCl2
1.0
5.1844 -0.0038 0.0000
-1.6801 4.9046 0.0000
0.0000 0.0000 3.1956
Sc As Cl
1 1 2
Direct
0.5000 0.0000 0.5000
0.0000 0.5000 0.5000
0.0000 0.0000 0.0000
0.5000 0.5000 0.0000
```

Values from the calculation:
Total magnetization ... 0.00 μB/f.u.
Final energy ... -4.057 eV per atom
Offset from the most stable computed form ... 0.769 eV/atom
E_form (uncorrected) ... -389 meV/atom

---

[3]
The following is a PBE-GGA calculation of BaHgBi2Pd after structural relaxation, from the Alexandria database.

Cell and atoms, written as POSCAR:
```
BaHgBi2Pd
1.0
5.0772 0.0000 0.0000
0.0000 5.0769 0.0005
0.0000 0.0008 6.8819
Bi Hg Pd Ba
2 1 1 1
Direct
0.5000 0.0000 0.9246
0.0000 0.4999 0.9244
0.5000 0.5000 0.5841
0.0000 0.0000 0.0652
0.0000 0.0000 0.5017
```

Values from the calculation:
DFT formation energy ... -156 kJ/mol of formula units
Total magnetization ... 0.00 μB/f.u.
Final energy ... -3.359 eV per atom
Offset from the most stable computed form ... 0.018 eV/atom

---

[4]
The following is a PBE-GGA calculation of SmDyPd3 after structural relaxation, from the Alexandria database.

Cell and atoms, written as POSCAR:
```
SmDyPd3
1.0
5.5279 0.0000 0.0000
0.0000 7.3663 -0.5429
0.0000 -3.1751 10.7418
Pd Dy Sm
12 4 4
Direct
0.1135 0.9323 0.5949
0.8346 0.8129 0.8028
0.2370 0.7811 0.0848
0.2630 0.2811 0.5848
0.8865 0.0677 0.4051
0.7370 0.7189 0.4152
0.6135 0.5677 0.9051
0.3865 0.4323 0.0949
0.6654 0.3129 0.3028
0.1654 0.1871 0.1972
0.3346 0.6871 0.6972
0.7630 0.2189 0.9152
0.1243 0.4785 0.8473
0.8757 0.5215 0.1527
0.3757 0.9785 0.3473
0.6243 0.0215 0.6527
0.7562 0.4629 0.5855
0.2438 0.5371 0.4145
0.2562 0.0371 0.9145
0.7438 0.9629 0.0855
```

Values from the calculation:
DFT formation energy ... -371 kJ/mol of formula units
Total magnetization ... 0.00 μB/f.u.
Final energy ... -5.750 eV per atom

---

[5]
The following is a PBE-GGA calculation of KTl2In2 after structural relaxation, from the Alexandria database.

Cell and atoms, written as POSCAR:
```
KTl2In2
1.0
-2.8271 -3.5620 -2.4760
-1.5798 -1.9071 4.5474
-7.1154 1.2024 0.9803
Tl In K
2 2 1
Direct
0.7500 0.2500 0.5000
0.2500 0.7500 0.5000
0.6150 0.6150 0.7701
0.3850 0.3850 0.2299
0.0000 0.0000 0.0000
```

Values from the calculation:
DFT formation energy ... -41 kJ/mol of formula units
Total magnetization ... 0.00 μB/f.u.
Final energy ... -2.346 eV per atom
Offset from the most stable computed form ... 0.000 eV/atom

---

[6]
The following is a PBE-GGA calculation of Tb2Pm2Tl after structural relaxation, from the Alexandria database.

Cell and atoms, written as POSCAR:
```
Tb2Pm2Tl
1.0
8.5638 0.0000 0.5943
4.2819 4.7577 0.2971
4.2421 0.0000 8.0400
Tb Pm Tl
4 4 2
Direct
0.3284 0.6318 0.2836
0.0397 0.6318 0.7164
0.9603 0.3682 0.2836
0.6716 0.3682 0.7164
0.3931 0.0000 0.8858
0.7338 0.0000 0.4255
0.6069 0.0000 0.1142
0.2662 0.0000 0.5745
0.8309 0.3381 0.0000
0.1691 0.6619 0.0000
```

Values from the calculation:
DFT formation energy ... -35 kJ/mol of formula units
Total magnetization ... 0.00 μB/f.u.
Final energy ... -4.297 eV per atom

---

[7]
The following is a PBE-GGA calculation of SrNb4O8 after structural relaxation, from the Alexandria database.

Cell and atoms, written as POSCAR:
```
SrNb4O8
1.0
-2.9679 2.1605 4.7942
-1.4441 -5.4509 -2.1594
6.5023 -0.8626 2.7453
O Nb Sr
8 4 1
Direct
0.8453 0.4974 0.8109
0.8404 0.9984 0.8388
0.6864 0.0344 0.1891
0.1547 0.5026 0.1891
0.3052 0.4844 0.7897
0.3136 0.9656 0.8109
0.6948 0.5156 0.2103
0.1596 0.0016 0.1612
0.7281 0.2501 0.9782
0.2751 0.2751 0.0000
0.7249 0.7249 0.0000
0.2719 0.7499 0.0218
0.0000 0.5000 0.5000
```

Values from the calculation:
Total magnetization ... 0.00 μB/f.u.
Final energy ... -8.662 eV per atom
E_form (uncorrected) ... -2383 meV/atom

---

[8]
The following is a PBE-GGA calculation of LaCe3Pu2Se6 after structural relaxation, from the Alexandria database.

Cell and atoms, written as POSCAR:
```
LaCe3Pu2Se6
1.0
-5.6351 1.0904 4.4704
6.4821 -1.8927 2.7069
1.4356 6.9265 -1.8527
Se Pu Ce La
6 2 3 1
Direct
0.5759 0.9169 0.7511
0.0831 0.4241 0.2489
0.4241 0.0831 0.2489
0.7408 0.7408 0.2465
0.9169 0.5759 0.7511
0.2592 0.2592 0.7535
0.6671 0.3329 0.0000
0.3329 0.6671 0.0000
0.5000 0.5000 0.5000
0.8359 0.1641 0.5000
0.1641 0.8359 0.5000
0.0000 0.0000 0.0000
```

Values from the calculation:
Total magnetization ... 14.57 μB/f.u.
Final energy ... -7.774 eV per atom
E_form (uncorrected) ... -1749 meV/atom